# 1
Density functional theory data (PBE) for a relaxed PmGaRu2C crystal.

Cell lengths 4.0247, 5.9123, 7.3429 Å; angles 90.00, 90.00, 109.90 degrees
Closest atoms and distances in Å follow each position.
Fractional coordinates of all 10 atoms:
Pm: 0.4514 0.9029 0.7500  4 C 2.78, 1 Ga 3.09
Pm: 0.5486 0.0971 0.2500  4 C 2.78, 1 Ga 3.09
Ga: 0.7291 0.4581 0.7500  6 Ru 2.56
Ga: 0.2709 0.5419 0.2500  6 Ru 2.56
Ru: 0.1637 0.3274 0.9418  1 C 1.87
Ru: 0.8363 0.6726 0.0582  1 C 1.87
Ru: 0.1637 0.3274 0.5582  1 C 1.87
Ru: 0.8363 0.6726 0.4418  1 C 1.87
C: 0.0000 0.0000 0.0000  2 Ru 1.87
C: 0.0000 0.0000 0.5000  2 Ru 1.87

Output
density of states at the Fermi level = 4.4 states/eV/f.u.
volume = 164.29 Å³ per cell
energy of formation = -36.0 kJ/mol of atoms

---

# 2
Density functional theory data (PBE) for a relaxed SrLi2O2 crystal.

Cell lengths 3.2528, 3.2528, 5.7483 Å; angles 73.56, 73.56, 90.00 degrees
Closest atoms and distances in Å follow each position.
Fractional coordinates of all 5 atoms:
Sr: 0.0000 0.0000 0.0000  8 O 2.75
O: 0.3573 0.3573 0.2854  4 Li 1.98
O: 0.6427 0.6427 0.7146  4 Li 1.98
Li: 0.7500 0.2500 0.5000  4 O 1.98
Li: 0.2500 0.7500 0.5000  4 O 1.98

Output
E_form (uncorrected) = -2.086 eV per atom
density of states at the Fermi level = 0.0 states/eV/f.u.
volume = 55.74 Å³ per cell
ΔE to the lowest computed polymorph = 0.027 eV per atom